A PBEsol-optimized structure of BaZr2As. Source: the Alexandria database, functional SCAN.

Cell: 6.4244 10.2571 3.4547 Å, 90.00 122.22 90.00°
Last column: nearest neighbours and their distance in Å.
Fractional coordinates of all 8 atoms:
Ba 0.0000 0.0000 0.0000  4 Zr 3.03, 4 As 3.21-3.23
Ba 0.5000 0.5000 0.0000  4 Zr 3.03, 4 As 3.21-3.23
Zr 0.2500 0.2500 0.5000  2 As 3.03, 2 Ba 3.03, 4 Zr 3.21-3.23
Zr 0.2500 0.7500 0.5000  2 As 3.03, 2 Ba 3.03, 4 Zr 3.21-3.23
Zr 0.7500 0.2500 0.5000  2 As 3.03, 2 Ba 3.03, 4 Zr 3.21-3.23
Zr 0.7500 0.7500 0.5000  2 Ba 3.03, 2 As 3.03, 4 Zr 3.21-3.23
As 0.0000 0.5000 0.0000  4 Zr 3.03, 4 Ba 3.21-3.23
As 0.5000 0.0000 0.0000  4 Zr 3.03, 4 Ba 3.21-3.23

## Properties
- D(E_F): 1.2696 states/eV per atom
- Energy of formation from the pure elements: 0.170 eV per atom
- Crystal system: monoclinic
- Raw total energy: -240.92 eV for the cell shown
- M_tot: 0.0 μB per formula unit

***

A PBEsol-optimized structure of BaZrAs. Source: the Alexandria database, functional SCAN.

Cell: 7.2635 7.2635 7.2635 Å, 90.00 90.00 90.00°
Last column: nearest neighbours and their distance in Å.
Fractional coordinates of all 12 atoms:
Ba 0.0000 0.0000 0.0000  4 Zr 3.15, 4 As 3.15
Ba 0.0000 0.5000 0.5000  4 Zr 3.15, 4 As 3.15
Ba 0.5000 0.0000 0.5000  4 Zr 3.15, 4 As 3.15
Ba 0.5000 0.5000 0.0000  4 Zr 3.15, 4 As 3.15
Zr 0.2500 0.2500 0.7500  4 Ba 3.15
Zr 0.2500 0.7500 0.2500  4 Ba 3.15
Zr 0.7500 0.2500 0.2500  4 Ba 3.15
Zr 0.7500 0.7500 0.7500  4 Ba 3.15
As 0.2500 0.2500 0.2500  4 Ba 3.15
As 0.2500 0.7500 0.7500  4 Ba 3.15
As 0.7500 0.2500 0.7500  4 Ba 3.15
As 0.7500 0.7500 0.2500  4 Ba 3.15

## Properties
- D(E_F): 1.0642 states/eV per atom
- Energy of formation from the pure elements: 0.731 eV per atom
- Crystal system: cubic
- Raw total energy: -352.99 eV for the cell shown
- M_tot: 3.0 μB per formula unit

***

Q: Number 1 is which compound?
A: BaZr2As

***

Q: Which formula does entry 1 have?
A: BaZr2As

***

Q: Which formula does entry 1 have?
A: BaZr2As